{"formula": "K4LiMg3F12", "functional": "PBE", "state": "relaxed", "lattice": [[7.0392, 0.0000, 0.0000], [-2.3464, 6.6366, 0.0000], [-2.3464, -3.3183, 5.7475]], "species": ["F", "F", "F", "F", "F", "F", "F", "F", "F", "F", "F", "F", "K", "K", "K", "K", "Mg", "Mg", "Mg", "Li"], "frac_coords": [[0.5000, 0.2500, 0.7500], [0.0000, 0.2559, 0.2559], [0.2500, 0.5000, 0.7500], [0.2559, 0.2559, 0.0000], [0.7500, 0.5000, 0.2500], [0.7441, 0.0000, 0.7441], [0.2500, 0.7500, 0.5000], [0.2559, 0.0000, 0.2559], [0.0000, 0.7441, 0.7441], [0.7441, 0.7441, 0.0000], [0.7500, 0.2500, 0.5000], [0.5000, 0.7500, 0.2500], [0.5000, 0.5000, 0.5000], [0.0000, 0.5000, 0.0000], [0.5000, 0.0000, 0.0000], [0.0000, 0.0000, 0.5000], [0.0000, 0.5000, 0.5000], [0.5000, 0.5000, 0.0000], [0.5000, 0.0000, 0.5000], [0.0000, 0.0000, 0.0000]], "magnetic_moment_mub_per_atom": 0.059, "final_energy_ev_per_atom": -4.7124}